Record 1
This record from Alexandria describes an optimized crystal structure of SrCe2Ru. The functional is PBE-GGA.

Cell and atoms, written as extended XYZ:
```
12
Lattice="3.966 0.000 0.000 -1.983 3.435 0.000 0.000 0.000 31.784" Properties=species:S:1:pos:R:3 pbc="T T T"
Sr 0.000 0.000 0.000
Sr 0.000 2.290 21.189
Sr 1.983 1.145 10.595
Ce 0.000 0.000 3.767
Ce 0.000 0.000 28.016
Ce 0.000 2.290 17.422
Ce 0.000 2.290 24.956
Ce 1.983 1.145 6.827
Ce 1.983 1.145 14.362
Ru 0.000 0.000 15.892
Ru 0.000 2.290 5.297
Ru 1.983 1.145 26.486
```

Properties
DOS at the Fermi energy	3.1213	states/eV per atom
ΔH_f (0 K)	34	meV per atom
symmetry	R-3m, No. 166
energy above the lowest structure with this stoichiometry	0.44	eV per formula unit

---

Record 2
This record from Alexandria describes an optimized crystal structure of BaFeSb2. The functional is PBE-GGA.

Cell and atoms, written as extended XYZ:
```
8
Lattice="4.701 0.000 0.000 0.000 4.701 0.000 0.000 0.000 10.293" Properties=species:S:1:pos:R:3 pbc="T T T"
Ba 0.000 0.000 0.000
Ba 2.351 2.351 5.146
Fe 0.000 2.351 7.719
Fe 2.351 0.000 2.573
Sb 0.000 0.000 5.146
Sb 0.000 2.351 2.573
Sb 2.351 0.000 7.719
Sb 2.351 2.351 0.000
```

Properties
DOS at the Fermi energy	1.6015	states/eV per atom
symmetry	I-4m2, No. 119
formation energy without anion corrections	0.228	eV per atom

---

Record 3
This record from Alexandria describes an optimized crystal structure of CsLiICl. The functional is PBE-GGA.

Cell and atoms, written as extended XYZ:
```
8
Lattice="4.464 0.000 0.000 0.000 4.796 0.000 0.000 0.000 14.326" Properties=species:S:1:pos:R:3 pbc="T T T"
Cs 0.000 0.000 0.000
Cs 0.000 2.398 7.163
Li 2.232 0.000 3.710
Li 2.232 2.398 10.873
I 2.232 0.000 9.204
I 2.232 2.398 2.042
Cl 0.000 0.000 4.710
Cl 0.000 2.398 11.873
```

Properties
DOS at the Fermi energy	0.0000	states/eV per atom
symmetry	Amm2, No. 38
energy above the lowest structure with this stoichiometry	0.00	eV per formula unit
formation energy without anion corrections	-1.576	eV per atom

---

Record 4
This record from Alexandria describes an optimized crystal structure of SiRh2Pb. The functional is PBE-GGA.

Cell and atoms, written as extended XYZ:
```
16
Lattice="6.401 0.000 0.000 0.000 6.401 0.000 0.000 0.000 6.401" Properties=species:S:1:pos:R:3 pbc="T T T"
Si 0.000 0.000 0.000
Si 0.000 3.201 3.201
Si 3.201 0.000 3.201
Si 3.201 3.201 0.000
Rh 1.600 1.600 1.600
Rh 1.600 1.600 4.801
Rh 1.600 4.801 1.600
Rh 1.600 4.801 4.801
Rh 4.801 1.600 1.600
Rh 4.801 1.600 4.801
Rh 4.801 4.801 1.600
Rh 4.801 4.801 4.801
Pb 0.000 0.000 3.201
Pb 0.000 3.201 0.000
Pb 3.201 0.000 0.000
Pb 3.201 3.201 3.201
```

Properties
DOS at the Fermi energy	1.2890	states/eV per atom
symmetry	Fm-3m, No. 225
energy above the lowest structure with this stoichiometry	1.64	eV per formula unit
formation energy without anion corrections	-0.006	eV per atom

---

The following M_tot values (in μB/atom) correspond, in order, to the records above: 0.43, 0.80, 0.00, 0.00.